MgFeOs: optimized geometry, GGA-PBE.

Unit cell a=5.769 b=2.861 c=5.707 alpha=89.99 beta=104.48 gamma=104.36
Last column: magnetic moment on the atom in μB.
Sites, in units of the cell vectors:
1 Mg 0.841 0.052 0.635  -0.01
2 Mg 0.864 0.064 0.139  -0.01
3 Os 0.483 0.374 0.281  -0.10
4 Os 0.222 0.743 0.493  -0.10
5 Fe 0.222 0.743 0.965  1.81
6 Fe 0.482 0.373 0.809  1.80

Summary:
Its energy relative to the lowest polymorph listed for this composition is 65 meV/atom. The value obtained for the density of states at the Fermi level is 5.3 states/eV/cell. The value obtained for the magnetization is 0.563 μB/atom. As for the space group: No. 12. As for the energy of formation from the pure elements: 0.20 eV/atom.



Rb2PmPbCl8: optimized geometry, GGA-PBE.

Unit cell a=7.403 b=6.944 c=8.647 alpha=90.00 beta=90.00 gamma=92.24
Last column: magnetic moment on the atom in μB.
Sites, in units of the cell vectors:
1 Rb 0.500 0.500 0.752  0.00
2 Rb 0.500 0.500 0.248  0.00
3 Pm 0.000 0.000 0.000  0.00
4 Pb 0.000 0.000 0.500  0.11
5 Cl 0.127 0.783 0.247  0.03
6 Cl 0.695 0.782 0.000  0.00
7 Cl 0.873 0.217 0.247  0.03
8 Cl 0.873 0.217 0.753  0.03
9 Cl 0.305 0.218 0.000  0.00
10 Cl 0.127 0.783 0.753  0.03
11 Cl 0.690 0.795 0.500  0.11
12 Cl 0.310 0.205 0.500  0.11

Summary:
The value obtained for the density of states at the Fermi level is 4.7 states/eV/cell. The formation energy from raw total energies comes out at -1.658 eV/atom. The value obtained for the magnetization is 0.050 μB/atom. As for the space group: No. 10.



Ag7Au2F2: optimized geometry, GGA-PBE.

Unit cell a=5.083 b=5.763 c=7.551 alpha=76.44 beta=65.43 gamma=92.78
Sites, in units of the cell vectors:
1 Ag 0.962 0.820 0.677
2 Ag 0.863 0.320 0.697
3 Ag 0.038 0.180 0.323
4 Ag 0.137 0.680 0.303
5 Ag 0.724 0.500 0.159
6 Ag 0.000 0.000 0.000
7 Ag 0.276 0.500 0.841
8 Au 0.568 0.791 0.434
9 Au 0.432 0.209 0.566
10 F 0.498 0.763 0.956
11 F 0.502 0.237 0.044

Summary:
The value obtained for the density of states at the Fermi level is 2.8 states/eV/cell. The formation energy from raw total energies comes out at -0.296 eV/atom. The value obtained for the magnetization is 0.000 μB/atom. As for the space group: No. 2.



Ag3SbBr6Cl2: optimized geometry, GGA-PBE.

Unit cell a=6.493 b=7.907 c=8.057 alpha=119.39 beta=100.30 gamma=90.00
Sites, in units of the cell vectors:
1 Ag 0.000 0.500 0.000
2 Ag 0.500 0.500 0.500
3 Ag 0.500 0.000 0.500
4 Sb 0.500 0.000 0.000
5 Br 0.760 0.338 0.180
6 Br 0.240 0.662 0.820
7 Br 0.732 0.854 0.709
8 Br 0.268 0.146 0.291
9 Br 0.240 0.158 0.820
10 Br 0.760 0.842 0.180
11 Cl 0.258 0.659 0.318
12 Cl 0.742 0.341 0.682

Summary:
The value obtained for the density of states at the Fermi level is 9.7 states/eV/cell. The formation energy from raw total energies comes out at -0.370 eV/atom. The value obtained for the magnetization is 0.000 μB/atom. As for the space group: No. 12.



Rb2YCl6: optimized geometry, GGA-PBE.

Unit cell a=4.339 b=8.350 c=8.350 alpha=120.00 beta=90.00 gamma=90.00
Last column: magnetic moment on the atom in μB.
Sites, in units of the cell vectors:
1 Rb 0.500 0.333 0.667  0.00
2 Rb 0.500 0.667 0.333  0.00
3 Y 0.000 0.000 0.000  -0.01
4 Cl 0.500 0.000 0.773  0.14
5 Cl 0.500 0.773 0.000  0.14
6 Cl 0.500 0.227 0.227  0.14
7 Cl 0.000 0.662 0.662  0.15
8 Cl 0.000 0.338 0.000  0.15
9 Cl 0.000 0.000 0.338  0.15

Summary:
The value obtained for the density of states at the Fermi level is 7.9 states/eV/cell. The formation energy from raw total energies comes out at -1.782 eV/atom. The value obtained for the magnetization is 0.124 μB/atom. As for the space group: No. 189.



Mn2Ga2Os: optimized geometry, GGA-PBE.

Unit cell a=4.626 b=4.626 c=4.845 alpha=61.48 beta=61.48 gamma=90.00
Last column: magnetic moment on the atom in μB.
Sites, in units of the cell vectors:
1 Mn 0.360 0.360 0.279  1.03
2 Mn 0.640 0.640 0.721  1.03
3 Os 0.000 0.000 0.000  0.10
4 Ga 0.750 0.250 0.500  -0.03
5 Ga 0.250 0.750 0.500  -0.03

Summary:
Its energy relative to the lowest polymorph listed for this composition is 431 meV/atom. The value obtained for the density of states at the Fermi level is 6.1 states/eV/cell. The value obtained for the magnetization is 0.429 μB/atom. As for the space group: No. 139. As for the energy of formation from the pure elements: 0.71 eV/atom.



SrCe2Ru: optimized geometry, GGA-PBE.

Unit cell a=4.084 b=4.084 c=9.737 alpha=77.89 beta=77.89 gamma=60.00
Last column: magnetic moment on the atom in μB.
Sites, in units of the cell vectors:
1 Sr 0.502 0.502 0.495  0.05
2 Ce 0.051 0.051 0.847  0.70
3 Ce 0.282 0.282 0.154  0.60
4 Ru 0.665 0.665 0.004  -0.11

Summary:
Its energy relative to the lowest polymorph listed for this composition is 0 meV/atom. The value obtained for the density of states at the Fermi level is 12.3 states/eV/cell. The value obtained for the magnetization is 0.445 μB/atom. As for the space group: No. 160. As for the energy of formation from the pure elements: -0.08 eV/atom.



NbTc2B2: optimized geometry, GGA-PBE.

Unit cell a=6.220 b=6.220 c=2.998 alpha=90.00 beta=90.00 gamma=90.00
Sites, in units of the cell vectors:
1 Nb 0.000 0.000 0.000
2 Nb 0.500 0.500 0.000
3 B 0.380 0.880 0.000
4 B 0.880 0.620 0.000
5 B 0.620 0.120 0.000
6 B 0.120 0.380 0.000
7 Tc 0.161 0.661 0.500
8 Tc 0.661 0.839 0.500
9 Tc 0.839 0.339 0.500
10 Tc 0.339 0.161 0.500

Summary:
The value obtained for the density of states at the Fermi level is 4.9 states/eV/cell. The value obtained for the magnetization is 0.000 μB/atom. As for the space group: No. 127. As for the energy of formation from the pure elements: -0.32 eV/atom.



Li2CdPb: optimized geometry, GGA-PBE.

Unit cell a=5.777 b=5.777 c=5.777 alpha=143.48 beta=131.63 gamma=62.10
Sites, in units of the cell vectors:
1 Pb 0.501 0.501 0.000
2 Li 0.004 0.004 0.000
3 Li 0.756 0.256 0.500
4 Cd 0.239 0.739 0.500

Summary:
Its energy relative to the lowest polymorph listed for this composition is 55 meV/atom. The value obtained for the density of states at the Fermi level is 1.4 states/eV/cell. The value obtained for the magnetization is 0.000 μB/atom. As for the space group: No. 44. As for the energy of formation from the pure elements: -0.21 eV/atom.



SrLiAsCl2: optimized geometry, GGA-PBE.

Unit cell a=5.609 b=6.276 c=5.609 alpha=90.00 beta=90.00 gamma=90.00
Last column: magnetic moment on the atom in μB.
Sites, in units of the cell vectors:
1 Sr 0.000 0.000 0.000  0.01
2 As 0.000 0.500 0.000  0.74
3 Li 0.500 0.500 0.500  0.01
4 Cl 0.000 0.000 0.500  0.04
5 Cl 0.500 0.000 0.000  0.05

Summary:
The value obtained for the density of states at the Fermi level is 2.4 states/eV/cell. The formation energy from raw total energies comes out at -0.881 eV/atom. The value obtained for the magnetization is 0.400 μB/atom. As for the space group: No. 123.



HgBiAsPb: optimized geometry, GGA-PBE.

Unit cell a=5.337 b=5.337 c=5.337 alpha=60.00 beta=60.00 gamma=60.00
Sites, in units of the cell vectors:
1 Pb 0.250 0.250 0.250
2 As 0.000 0.000 0.000
3 Bi 0.750 0.750 0.750
4 Hg 0.500 0.500 0.500

Summary:
The value obtained for the density of states at the Fermi level is 2.2 states/eV/cell. The value obtained for the magnetization is 0.000 μB/atom. As for the space group: No. 216. As for the energy of formation from the pure elements: 0.13 eV/atom.



SnHg2F8: optimized geometry, GGA-PBE.

Unit cell a=4.784 b=6.158 c=6.158 alpha=77.39 beta=76.17 gamma=76.17
Sites, in units of the cell vectors:
1 Sn 0.000 0.000 0.000
2 Hg 0.355 0.345 0.345
3 Hg 0.645 0.655 0.655
4 F 0.248 0.046 0.686
5 F 0.248 0.686 0.046
6 F 0.752 0.954 0.314
7 F 0.206 0.589 0.589
8 F 0.752 0.314 0.954
9 F 0.262 0.127 0.127
10 F 0.738 0.873 0.873
11 F 0.794 0.411 0.411

Summary:
The value obtained for the density of states at the Fermi level is 0.0 states/eV/cell. The formation energy from raw total energies comes out at -1.890 eV/atom. The value obtained for the magnetization is 0.000 μB/atom. As for the space group: No. 12.



> The lowest density of states at the Fermi level belongs to which entry?

SnHg2F8



> What is the formula in the twelfth record?

SnHg2F8